No. 1
# MoIrRu4 GGA-PBE relaxed
data_MoIrRu4
_chemical_formula_sum 'Mo4 Ir4 Ru16'
_cell_length_a 8.7024
_cell_length_b 10.8143
_cell_length_c 4.2986
_cell_angle_alpha 90.00
_cell_angle_beta 119.54
_cell_angle_gamma 90.00
_symmetry_space_group_name_H-M 'C 1 2/m 1'
_symmetry_Int_Tables_number 12
_symmetry_space_group_name_Hall '-C 2y'
loop_
_atom_site_label
_atom_site_fract_x
_atom_site_fract_y
_atom_site_fract_z
_atom_site_occupancy
Mo1 0.0879 0.0000 0.3377 1
Ir1 0.0867 0.5000 0.3364 1
Ru1 0.0840 0.2530 0.3336 1
Ru2 0.2402 0.1294 0.9895 1
# **Distance to the lowest polymorph of the same formula**: 0.000 eV/atom
# **M_tot**: 0.00 μB per cell
# **Energy**: -9.272 eV/atom
# **Theoretical density**: 13.067 g/cm³
# **E_form**: 0.19 eV per atom

***

No. 2
# YMgSe2Br GGA-PBE relaxed
data_YMgSe2Br
_chemical_formula_sum 'Y1 Mg1 Se2 Br1'
_cell_length_a 5.1370
_cell_length_b 5.1370
_cell_length_c 4.8493
_cell_angle_alpha 90.00
_cell_angle_beta 90.00
_cell_angle_gamma 90.00
_symmetry_space_group_name_H-M 'P 4/m m m'
_symmetry_Int_Tables_number 123
_symmetry_space_group_name_Hall '-P 4 2'
loop_
_atom_site_label
_atom_site_fract_x
_atom_site_fract_y
_atom_site_fract_z
_atom_site_occupancy
Y1 0.0000 0.0000 0.0000 1
Mg1 0.5000 0.5000 0.5000 1
Se1 0.0000 0.5000 0.5000 1
Br1 0.5000 0.5000 0.0000 1
# **Distance to the lowest polymorph of the same formula**: 0.000 eV/atom
# **M_tot**: 0.00 μB per cell
# **Energy**: -4.266 eV/atom
# **Energy relative to the elements, uncorrected**: -4.63 eV per formula unit
# **Theoretical density**: 4.555 g/cm³

***

No. 3
# Ho7Sc3 GGA-PBE relaxed
data_Ho7Sc3
_chemical_formula_sum 'Ho14 Sc6'
_cell_length_a 10.5385
_cell_length_b 10.5385
_cell_length_c 6.1923
_cell_angle_alpha 90.00
_cell_angle_beta 90.00
_cell_angle_gamma 120.00
_symmetry_space_group_name_H-M 'P 63 m c'
_symmetry_Int_Tables_number 186
_symmetry_space_group_name_Hall 'P 6c -2c'
loop_
_atom_site_label
_atom_site_fract_x
_atom_site_fract_y
_atom_site_fract_z
_atom_site_occupancy
Ho1 0.0559 0.5280 0.0000 1
Ho2 0.1200 0.2401 0.8362 1
Ho3 0.3333 0.6667 0.7184 1
Sc1 0.2156 0.4311 0.3486 1
# **Distance to the lowest polymorph of the same formula**: 0.164 eV/atom
# **M_tot**: 4.28 μB per cell
# **Energy**: -4.898 eV/atom
# **Theoretical density**: 7.190 g/cm³
# **E_form**: 0.21 eV per atom

***

No. 4
# MgI2 GGA-PBE relaxed
data_MgI2
_chemical_formula_sum 'Mg1 I2'
_cell_length_a 4.2016
_cell_length_b 4.2035
_cell_length_c 7.8394
_cell_angle_alpha 89.48
_cell_angle_beta 89.74
_cell_angle_gamma 60.01
_symmetry_space_group_name_H-M 'P -1'
_symmetry_Int_Tables_number 2
_symmetry_space_group_name_Hall '-P 1'
loop_
_atom_site_label
_atom_site_fract_x
_atom_site_fract_y
_atom_site_fract_z
_atom_site_occupancy
Mg1 0.0000 0.0000 0.0000 1
I1 0.3333 0.3370 0.7862 1
# **M_tot**: 0.00 μB per cell
# **Energy**: -2.610 eV/atom
# **Energy relative to the elements, uncorrected**: -3.13 eV per formula unit
# **Theoretical density**: 3.851 g/cm³